PBE CsU6S12, optimized geometry; space group = R-3m (166); formation energy without anion corrections = -1.2850 eV per atom; M_tot = 13.00 μB/f.u.
1.0
8.124 -0.083 -0.116
-2.094 7.850 -0.116
-2.094 -2.697 7.373
S U Cs
12 6 1
direct
0.561 0.819 0.561
0.181 0.439 0.439
0.871 0.129 0.500
0.500 0.129 0.871
0.439 0.181 0.439
0.500 0.871 0.129
0.129 0.500 0.871
0.561 0.561 0.819
0.819 0.561 0.561
0.439 0.439 0.181
0.871 0.500 0.129
0.129 0.871 0.500
0.657 0.254 0.254
0.746 0.746 0.343
0.254 0.254 0.657
0.343 0.746 0.746
0.254 0.657 0.254
0.746 0.343 0.746
0.000 0.000 0.000